InCo2Au | PBE-GGA | optimized geometry

The structure in extended XYZ format:
```
4
Lattice="-1.0401 2.9334 -0.6513 -1.7309 -0.0246 2.6533 2.8707 2.2776 5.6736" Properties=species:S:1:pos:R:3 pbc="T T T"
Au 0.3348 3.1564 5.9195
Co 2.8385 2.2615 5.6524
Co 0.6020 1.1426 4.1846
In -0.2351 2.0300 1.7561
```

* density of states at the Fermi level: 1.255 states/eV per atom
* energy relative to the elements: 0.242 eV per atom
* energy: -4.82 eV/atom



KInCoAu2 | PBE-GGA | optimized geometry

The structure in extended XYZ format:
```
5
Lattice="-1.9436 3.7859 3.7095 -2.9510 -4.3155 2.8582 4.5029 -0.9049 3.2828" Properties=species:S:1:pos:R:3 pbc="T T T"
Co -0.1958 -0.7172 4.9253
K 0.0000 0.0000 0.0000
Au 2.2514 -0.4524 1.6414
Au -0.9718 1.8930 1.8548
In -1.4755 -2.1577 1.4291
```

* density of states at the Fermi level: 1.866 states/eV per atom
* energy relative to the elements: 1.514 eV per atom
* energy: -1.99 eV/atom



La2InCoAu | PBE-GGA | optimized geometry

The structure in extended XYZ format:
```
5
Lattice="-2.8818 3.3553 -2.7940 -0.5192 -3.5873 -3.7724 -4.0652 -1.6886 2.1652" Properties=species:S:1:pos:R:3 pbc="T T T"
Co 0.0000 0.0000 0.0000
In -2.0326 -0.8443 1.0826
Au -3.7331 -0.9603 -2.2006
La -0.2596 -1.7937 -1.8862
La -1.4409 1.6776 -1.3970
```

* density of states at the Fermi level: 0.778 states/eV per atom
* energy relative to the elements: -0.395 eV per atom
* energy: -4.99 eV/atom



LaIn2CoAu | PBE-GGA | optimized geometry

The structure in extended XYZ format:
```
5
Lattice="4.9603 0.0000 0.0000 0.0000 4.9603 0.0000 0.0000 0.0000 5.0404" Properties=species:S:1:pos:R:3 pbc="T T T"
Co 0.0000 0.0000 0.0000
In 0.0000 2.4801 0.0000
In 2.4801 0.0000 0.0000
Au 2.4801 2.4801 2.5202
La 0.0000 0.0000 2.5202
```

* density of states at the Fermi level: 0.450 states/eV per atom
* energy relative to the elements: -0.325 eV per atom
* energy: -4.48 eV/atom



LuInCoAu | PBE-GGA | optimized geometry

The structure in extended XYZ format:
```
4
Lattice="-2.8485 3.0518 -2.2320 -4.1742 -1.4601 -1.6893 -4.0167 1.4278 2.0583" Properties=species:S:1:pos:R:3 pbc="T T T"
Co -8.2796 2.2647 -1.3973
Lu -5.5197 1.5098 -0.9315
Au -2.7599 0.7549 -0.4658
In 0.0000 0.0000 0.0000
```

* density of states at the Fermi level: 0.663 states/eV per atom
* energy relative to the elements: -0.329 eV per atom
* energy: -4.74 eV/atom



InCoNiAu2 | PBE-GGA | optimized geometry

The structure in extended XYZ format:
```
5
Lattice="-4.5756 -1.2931 -0.5694 0.9614 -4.2105 1.8366 -1.0169 1.6739 4.3700" Properties=species:S:1:pos:R:3 pbc="T T T"
Ni 0.0000 0.0000 0.0000
Co -2.3155 -1.9148 2.8186
Au -0.5084 0.8370 2.1850
Au -2.2878 -0.6466 -0.2847
In 0.4807 -2.1052 0.9183
```

* density of states at the Fermi level: 1.551 states/eV per atom
* energy relative to the elements: 0.851 eV per atom
* energy: -3.58 eV/atom